Below is a relaxed structure of Ta3NbW4, with properties calculated at the PBE level.

Structure (CIF):
```
data_Ta3NbW4
_chemical_formula_sum 'Ta3 Nb1 W4'
_symmetry_space_group_name_H-M 'P 1'
_symmetry_Int_Tables_number 1
_cell_length_a 3.2501
_cell_length_b 4.5787
_cell_length_c 9.1557
_cell_angle_alpha 90.00
_cell_angle_beta 90.00
_cell_angle_gamma 90.00
loop_
_symmetry_equiv_pos_as_xyz
'x,y,z'
loop_
_atom_site_label
_atom_site_type_symbol
_atom_site_fract_x
_atom_site_fract_y
_atom_site_fract_z
Ta1 Ta 0.0000 0.0000 0.0000
Ta2 Ta 0.0000 0.5000 0.2493
Ta3 Ta 0.0000 0.5000 0.7507
Nb1 Nb 0.0000 0.0000 0.5000
W1 W 0.5000 0.0000 0.2501
W2 W 0.5000 0.0000 0.7499
W3 W 0.5000 0.5000 0.0000
W4 W 0.5000 0.5000 0.5000
```

formation energy = -0.73 eV/f.u.
energy above the most stable polymorph in this dataset = 0 meV/atom
Fermi-level density of states = 6.1 states/eV/cell
space-group type = Pmmm (47)

Below is a relaxed structure of VRhSeN2, with properties calculated at the PBE level.

Structure (CIF):
```
data_VRhSeN2
_chemical_formula_sum 'V1 Rh1 Se1 N2'
_symmetry_space_group_name_H-M 'P 1'
_symmetry_Int_Tables_number 1
_cell_length_a 3.7021
_cell_length_b 3.7021
_cell_length_c 5.2635
_cell_angle_alpha 90.00
_cell_angle_beta 90.00
_cell_angle_gamma 90.00
loop_
_symmetry_equiv_pos_as_xyz
'x,y,z'
loop_
_atom_site_label
_atom_site_type_symbol
_atom_site_fract_x
_atom_site_fract_y
_atom_site_fract_z
V1 V 0.0000 0.0000 0.0000
Rh1 Rh 0.5000 0.5000 0.5000
Se1 Se 0.0000 0.0000 0.5000
N1 N 0.0000 0.5000 0.0000
N2 N 0.5000 0.0000 0.0000
```

energy above the most stable polymorph in this dataset = 0 meV/atom
Fermi-level density of states = 4.1 states/eV/cell
ΔE_f (raw) = 51.9 kJ per mole of atoms
space-group type = P4/mmm (123)

Below is a relaxed structure of Y2GaSb2, with properties calculated at the PBE level.

Structure (CIF):
```
data_Y2GaSb2
_chemical_formula_sum 'Y4 Ga2 Sb4'
_symmetry_space_group_name_H-M 'P 1'
_symmetry_Int_Tables_number 1
_cell_length_a 8.1496
_cell_length_b 8.1496
_cell_length_c 4.1252
_cell_angle_alpha 90.00
_cell_angle_beta 90.00
_cell_angle_gamma 90.00
loop_
_symmetry_equiv_pos_as_xyz
'x,y,z'
loop_
_atom_site_label
_atom_site_type_symbol
_atom_site_fract_x
_atom_site_fract_y
_atom_site_fract_z
Y1 Y 0.1510 0.3490 0.0000
Y2 Y 0.3490 0.8490 0.0000
Y3 Y 0.6510 0.1510 0.0000
Y4 Y 0.8490 0.6510 0.0000
Ga1 Ga 0.0000 0.0000 0.0000
Ga2 Ga 0.5000 0.5000 0.0000
Sb1 Sb 0.1576 0.6576 0.5000
Sb2 Sb 0.3424 0.1576 0.5000
Sb3 Sb 0.6576 0.8424 0.5000
Sb4 Sb 0.8424 0.3424 0.5000
```

energy above the most stable polymorph in this dataset = 40 meV/atom
Fermi-level density of states = 7.1 states/eV/cell
ΔE_f (raw) = -64.7 kJ per mole of atoms
space-group type = P4/mbm (127)

Below is a relaxed structure of Tm3HfGa12, with properties calculated at the PBE level.

Structure (CIF):
```
data_Tm3HfGa12
_chemical_formula_sum 'Tm3 Hf1 Ga12'
_symmetry_space_group_name_H-M 'P 1'
_symmetry_Int_Tables_number 1
_cell_length_a 4.1896
_cell_length_b 4.1896
_cell_length_c 16.9078
_cell_angle_alpha 90.00
_cell_angle_beta 90.00
_cell_angle_gamma 90.00
loop_
_symmetry_equiv_pos_as_xyz
'x,y,z'
loop_
_atom_site_label
_atom_site_type_symbol
_atom_site_fract_x
_atom_site_fract_y
_atom_site_fract_z
Tm1 Tm 0.0000 0.0000 0.0000
Tm2 Tm 0.0000 0.0000 0.2550
Tm3 Tm 0.0000 0.0000 0.7450
Hf1 Hf 0.0000 0.0000 0.5000
Ga1 Ga 0.0000 0.5000 0.1268
Ga2 Ga 0.0000 0.5000 0.3796
Ga3 Ga 0.0000 0.5000 0.6204
Ga4 Ga 0.0000 0.5000 0.8732
Ga5 Ga 0.5000 0.0000 0.1268
Ga6 Ga 0.5000 0.0000 0.3796
Ga7 Ga 0.5000 0.0000 0.6204
Ga8 Ga 0.5000 0.0000 0.8732
Ga9 Ga 0.5000 0.5000 0.0000
Ga10 Ga 0.5000 0.5000 0.2507
Ga11 Ga 0.5000 0.5000 0.5000
Ga12 Ga 0.5000 0.5000 0.7493
```

formation energy = -7.71 eV/f.u.
Fermi-level density of states = 5.6 states/eV/cell
space-group type = P4/mmm (123)

Below is a relaxed structure of Ac3SmHo2Se6, with properties calculated at the PBE level.

Structure (CIF):
```
data_Ac3SmHo2Se6
_chemical_formula_sum 'Ac3 Sm1 Ho2 Se6'
_symmetry_space_group_name_H-M 'P 1'
_symmetry_Int_Tables_number 1
_cell_length_a 7.2636
_cell_length_b 7.2636
_cell_length_c 7.6831
_cell_angle_alpha 99.08
_cell_angle_beta 99.08
_cell_angle_gamma 120.14
loop_
_symmetry_equiv_pos_as_xyz
'x,y,z'
loop_
_atom_site_label
_atom_site_type_symbol
_atom_site_fract_x
_atom_site_fract_y
_atom_site_fract_z
Ac1 Ac 0.0000 0.0000 0.0000
Ac2 Ac 0.3362 0.6638 0.0000
Ac3 Ac 0.6638 0.3362 0.0000
Sm1 Sm 0.5000 0.5000 0.5000
Ho1 Ho 0.1668 0.8332 0.5000
Ho2 Ho 0.8332 0.1668 0.5000
Se1 Se 0.0859 0.4261 0.2779
Se2 Se 0.2327 0.2327 0.7192
Se3 Se 0.4261 0.0859 0.2779
Se4 Se 0.5739 0.9141 0.7221
Se5 Se 0.7673 0.7673 0.2808
Se6 Se 0.9141 0.5739 0.7221
```

Fermi-level density of states = 4.9 states/eV/cell
ΔE_f (raw) = -174.1 kJ per mole of atoms
space-group type = C2/m (12)

Below is a relaxed structure of CaPr4Nd7, with properties calculated at the PBE level.

Structure (CIF):
```
data_CaPr4Nd7
_chemical_formula_sum 'Ca1 Pr4 Nd7'
_symmetry_space_group_name_H-M 'P 1'
_symmetry_Int_Tables_number 1
_cell_length_a 6.9300
_cell_length_b 6.9300
_cell_length_c 13.0321
_cell_angle_alpha 114.83
_cell_angle_beta 114.83
_cell_angle_gamma 53.42
loop_
_symmetry_equiv_pos_as_xyz
'x,y,z'
loop_
_atom_site_label
_atom_site_type_symbol
_atom_site_fract_x
_atom_site_fract_y
_atom_site_fract_z
Ca1 Ca 0.0000 0.0000 0.0000
Pr1 Pr 0.1386 0.1386 0.7773
Pr2 Pr 0.4367 0.4367 0.6747
Pr3 Pr 0.5633 0.5633 0.3253
Pr4 Pr 0.8614 0.8614 0.2227
Nd1 Nd 0.1316 0.1316 0.5007
Nd2 Nd 0.2619 0.2619 0.3232
Nd3 Nd 0.2945 0.2945 0.0780
Nd4 Nd 0.5000 0.5000 0.0000
Nd5 Nd 0.7055 0.7055 0.9220
Nd6 Nd 0.7381 0.7381 0.6768
Nd7 Nd 0.8684 0.8684 0.4993
```

formation energy = 2.96 eV/f.u.
energy above the most stable polymorph in this dataset = 220 meV/atom
Fermi-level density of states = 19.3 states/eV/cell
space-group type = C2/m (12)

Below is a relaxed structure of VFe2Os2, with properties calculated at the PBE level.

Structure (CIF):
```
data_VFe2Os2
_chemical_formula_sum 'V2 Fe4 Os4'
_symmetry_space_group_name_H-M 'P 1'
_symmetry_Int_Tables_number 1
_cell_length_a 6.9841
_cell_length_b 6.9841
_cell_length_c 2.6671
_cell_angle_alpha 90.00
_cell_angle_beta 90.00
_cell_angle_gamma 90.00
loop_
_symmetry_equiv_pos_as_xyz
'x,y,z'
loop_
_atom_site_label
_atom_site_type_symbol
_atom_site_fract_x
_atom_site_fract_y
_atom_site_fract_z
V1 V 0.0000 0.0000 0.0000
V2 V 0.5000 0.5000 0.0000
Fe1 Fe 0.1199 0.3801 0.0000
Fe2 Fe 0.3801 0.8801 0.0000
Fe3 Fe 0.6199 0.1199 0.0000
Fe4 Fe 0.8801 0.6199 0.0000
Os1 Os 0.1760 0.6760 0.5000
Os2 Os 0.3240 0.1760 0.5000
Os3 Os 0.6760 0.8240 0.5000
Os4 Os 0.8240 0.3240 0.5000
```

formation energy = 0.67 eV/f.u.
energy above the most stable polymorph in this dataset = 0 meV/atom
Fermi-level density of states = 13.0 states/eV/cell
space-group type = P4/mbm (127)

Below is a relaxed structure of AcErCuGe, with properties calculated at the PBE level.

Structure (CIF):
```
data_AcErCuGe
_chemical_formula_sum 'Ac1 Er1 Cu1 Ge1'
_symmetry_space_group_name_H-M 'P 1'
_symmetry_Int_Tables_number 1
_cell_length_a 5.2154
_cell_length_b 5.2154
_cell_length_c 5.2154
_cell_angle_alpha 60.00
_cell_angle_beta 60.00
_cell_angle_gamma 60.00
loop_
_symmetry_equiv_pos_as_xyz
'x,y,z'
loop_
_atom_site_label
_atom_site_type_symbol
_atom_site_fract_x
_atom_site_fract_y
_atom_site_fract_z
Ac1 Ac 0.0000 0.0000 0.0000
Er1 Er 0.5000 0.5000 0.5000
Cu1 Cu 0.7500 0.7500 0.7500
Ge1 Ge 0.2500 0.2500 0.2500
```

formation energy = -1.44 eV/f.u.
Fermi-level density of states = 3.9 states/eV/cell
space-group type = F-43m (216)

Below is a relaxed structure of Ac11Tl9Rh4, with properties calculated at the PBE level.

Structure (CIF):
```
data_Ac11Tl9Rh4
_chemical_formula_sum 'Ac11 Tl9 Rh4'
_symmetry_space_group_name_H-M 'P 1'
_symmetry_Int_Tables_number 1
_cell_length_a 14.1931
_cell_length_b 14.1931
_cell_length_c 4.0510
_cell_angle_alpha 90.00
_cell_angle_beta 90.00
_cell_angle_gamma 112.49
loop_
_symmetry_equiv_pos_as_xyz
'x,y,z'
loop_
_atom_site_label
_atom_site_type_symbol
_atom_site_fract_x
_atom_site_fract_y
_atom_site_fract_z
Ac1 Ac 0.0000 0.0000 0.0000
Ac2 Ac 0.0840 0.4190 0.0000
Ac3 Ac 0.1637 0.8363 0.0000
Ac4 Ac 0.3136 0.3136 0.0000
Ac5 Ac 0.3752 0.6248 0.0000
Ac6 Ac 0.4190 0.0840 0.0000
Ac7 Ac 0.5810 0.9160 0.0000
Ac8 Ac 0.6248 0.3752 0.0000
Ac9 Ac 0.6864 0.6864 0.0000
Ac10 Ac 0.8363 0.1637 0.0000
Ac11 Ac 0.9160 0.5810 0.0000
Tl1 Tl 0.0774 0.2180 0.5000
Tl2 Tl 0.1600 0.6341 0.5000
Tl3 Tl 0.2180 0.0774 0.5000
Tl4 Tl 0.3659 0.8400 0.5000
Tl5 Tl 0.5000 0.5000 0.5000
Tl6 Tl 0.6341 0.1600 0.5000
Tl7 Tl 0.7820 0.9226 0.5000
Tl8 Tl 0.8400 0.3659 0.5000
Tl9 Tl 0.9226 0.7820 0.5000
Rh1 Rh 0.2453 0.4472 0.5000
Rh2 Rh 0.4472 0.2453 0.5000
Rh3 Rh 0.5528 0.7547 0.5000
Rh4 Rh 0.7547 0.5528 0.5000
```

formation energy = -11.81 eV/f.u.
Fermi-level density of states = 18.8 states/eV/cell
space-group type = Cmmm (65)

Below is a relaxed structure of LiHoHfGa, with properties calculated at the PBE level.

Structure (CIF):
```
data_LiHoHfGa
_chemical_formula_sum 'Li1 Ho1 Hf1 Ga1'
_symmetry_space_group_name_H-M 'P 1'
_symmetry_Int_Tables_number 1
_cell_length_a 4.8556
_cell_length_b 4.8556
_cell_length_c 4.8556
_cell_angle_alpha 60.00
_cell_angle_beta 60.00
_cell_angle_gamma 60.00
loop_
_symmetry_equiv_pos_as_xyz
'x,y,z'
loop_
_atom_site_label
_atom_site_type_symbol
_atom_site_fract_x
_atom_site_fract_y
_atom_site_fract_z
Li1 Li 0.0000 0.0000 0.0000
Ho1 Ho 0.2500 0.2500 0.2500
Hf1 Hf 0.7500 0.7500 0.7500
Ga1 Ga 0.5000 0.5000 0.5000
```

formation energy = -0.63 eV/f.u.
Fermi-level density of states = 2.7 states/eV/cell
space-group type = F-43m (216)